*A*
## SrTa2Rh (PBE-GGA)

Data for an optimized crystal structure of SrTa2Rh.

Results
Total moment: 0.00 μB/f.u.
Crystal system: tetragonal
Volume: 21.75 Å³/atom
Space-group type: No. 99

Cell lengths 3.169, 3.169, 9.222 Å; angles 69.89, 90.00, 90.00 degrees
Fractional coordinates of all 4 atoms:
Ta 0.000 0.940 0.060
Rh 0.000 0.560 0.440
Ta 0.500 0.222 0.278
Sr 0.500 0.778 0.722

---

*B*
## SrTa2Rh (PBE-GGA)

Data for an optimized crystal structure of SrTa2Rh.

Results
Total moment: 0.00 μB/f.u.
Crystal system: trigonal
Volume: 20.47 Å³/atom
Space-group type: No. 166

Cell lengths 10.324, 10.324, 10.324 Å; angles 16.98, 16.98, 16.98 degrees
Fractional coordinates of all 4 atoms:
Ta 0.986 0.986 0.986
Rh 0.250 0.250 0.250
Ta 0.514 0.514 0.514
Sr 0.750 0.750 0.750

---

*C*
## SrTa2Rh (PBE-GGA)

Data for an optimized crystal structure of SrTa2Rh.

Results
Total moment: 0.00 μB/f.u.
Crystal system: monoclinic
Volume: 21.43 Å³/atom
Space-group type: No. 12

Cell lengths 6.077, 6.077, 5.142 Å; angles 71.14, 71.14, 28.61 degrees
Fractional coordinates of all 4 atoms:
Rh 0.250 0.250 0.250
Ta 0.956 0.956 0.070
Ta 0.544 0.544 0.430
Sr 0.750 0.750 0.750

---

It turns out *A* is the most stable, with the second structure 152 meV per atom higher.

---

*A*
## SrTa2Rh (PBE-GGA)

Data for an optimized crystal structure of SrTa2Rh.

Results
Total moment: 0.00 μB/f.u.
Crystal system: tetragonal
Volume: 19.15 Å³/atom
Space-group type: No. 123

Cell lengths 5.009, 5.009, 3.053 Å; angles 90.00, 90.00, 90.00 degrees
Fractional coordinates of all 4 atoms:
Ta 0.000 0.000 0.000
Sr 0.000 0.500 0.500
Rh 0.500 0.000 0.500
Ta 0.500 0.500 0.000

---

*B*
## SrTa2Rh (PBE-GGA)

Data for an optimized crystal structure of SrTa2Rh.

Results
Total moment: 0.00 μB/f.u.
Crystal system: monoclinic
Volume: 20.34 Å³/atom
Space-group type: No. 10

Cell lengths 5.057, 2.988, 5.490 Å; angles 78.75, 90.00, 90.00 degrees
Fractional coordinates of all 4 atoms:
Rh 0.500 0.250 0.250
Ta 0.000 0.458 0.466
Sr 0.500 0.750 0.750
Ta 0.000 0.042 0.034

---

It turns out *B* is the most stable, with the second structure 346 meV per atom higher.